[1]
Computed, not measured: crystalline KZn2PbCl at its relaxed geometry at the GGA-PBE level of DFT.

Values from the calculation:
- uncorrected formation energy (eV/atom) = 0.254
- size of the total moment (μB per cell) = 0.00

a b c (Å): 6.0058 6.0058 5.3941
angles (deg): 90.00 90.00 90.00
With the nearest neighbours (Å) after each atom.
Space group P4/mmm (No. 123)
Asymmetric unit:
1 K 0.0000 0.0000 0.0000 (multiplicity 1)  2 Cl 2.70, 4 Zn 3.00
2 Zn 0.0000 0.5000 0.0000 (multiplicity 2)  2 K 3.00
3 Pb 0.5000 0.5000 0.5000 (multiplicity 1)  8 Zn 4.04, 4 Cl 4.25
4 Cl 0.0000 0.0000 0.5000 (multiplicity 1)  2 K 2.70


[2]
Computed, not measured: crystalline KZnPb2Cl at its relaxed geometry at the GGA-PBE level of DFT.

Values from the calculation:
- uncorrected formation energy (eV/atom) = 0.475
- size of the total moment (μB per cell) = 0.00

a b c (Å): 6.3354 6.3354 5.4147
angles (deg): 90.00 90.00 90.00
With the nearest neighbours (Å) after each atom.
Space group P4/mmm (No. 123)
Asymmetric unit:
1 K 0.0000 0.0000 0.0000 (multiplicity 1)  2 Cl 2.71
2 Zn 0.5000 0.5000 0.5000 (multiplicity 1)  8 Pb 4.17, 4 Cl 4.48
3 Pb 0.0000 0.5000 0.0000 (multiplicity 2)  2 K 3.17
4 Cl 0.0000 0.0000 0.5000 (multiplicity 1)  2 K 2.71


[3]
Computed, not measured: crystalline KZrPbCl2 at its relaxed geometry at the GGA-PBE level of DFT.

Values from the calculation:
- uncorrected formation energy (eV/atom) = -0.019
- size of the total moment (μB per cell) = 3.14

a b c (Å): 5.8628 5.8628 5.9456
angles (deg): 90.00 90.00 90.00
With the nearest neighbours (Å) after each atom.
Space group P4/mmm (No. 123)
Asymmetric unit:
1 K 0.0000 0.0000 0.0000 (multiplicity 1)  4 Zr 4.15, 8 Cl 4.18
2 Zr 0.5000 0.5000 0.0000 (multiplicity 1)  2 Pb 2.97
3 Pb 0.5000 0.5000 0.5000 (multiplicity 1)  4 Cl 2.93, 2 Zr 2.97
4 Cl 0.0000 0.5000 0.5000 (multiplicity 2)  2 Pb 2.93